1.
Compound: TlIn6Pb12
Source: the Alexandria database
Functional: PBE
Structure: relaxed

The structure in CIF format:
```
data_TlIn6Pb12
_space_group_name_H-M_alt 'P 1'
_space_group_IT_number 1
_cell_length_a 8.374
_cell_length_b 8.374
_cell_length_c 8.374
_cell_angle_alpha 88.96
_cell_angle_beta 88.96
_cell_angle_gamma 88.96
loop_
_space_group_symop_operation_xyz
'x,y,z'
loop_
_atom_site_label
_atom_site_type_symbol
_atom_site_fract_x
_atom_site_fract_y
_atom_site_fract_z
In1 In 0.736 0.272 0.886
In2 In 0.272 0.886 0.736
In3 In 0.728 0.114 0.264
In4 In 0.264 0.728 0.114
In5 In 0.114 0.264 0.728
In6 In 0.886 0.736 0.272
Pb1 Pb 0.561 0.472 0.201
Pb2 Pb 0.799 0.439 0.528
Pb3 Pb 0.162 0.021 0.374
Pb4 Pb 0.528 0.799 0.439
Pb5 Pb 0.439 0.528 0.799
Pb6 Pb 0.979 0.626 0.838
Pb7 Pb 0.626 0.838 0.979
Pb8 Pb 0.021 0.374 0.162
Pb9 Pb 0.472 0.201 0.561
Pb10 Pb 0.838 0.979 0.626
Pb11 Pb 0.374 0.162 0.021
Pb12 Pb 0.201 0.561 0.472
Tl1 Tl 0.000 0.000 0.000
```

Values from the calculation:
* theoretical density: 9.6 g cm⁻³
* distance to the lowest polymorph of the same formula: 0.0000 eV/atom
* space group: No. 148
* energy of formation: 0.059 eV per atom
* V: 30.89 A^3/atom



2.
Compound: Tl4In2Pb
Source: the Alexandria database
Functional: PBE
Structure: relaxed

The structure in CIF format:
```
data_Tl4In2Pb
_space_group_name_H-M_alt 'P 1'
_space_group_IT_number 1
_cell_length_a 6.610
_cell_length_b 6.610
_cell_length_c 6.610
_cell_angle_alpha 104.95
_cell_angle_beta 104.95
_cell_angle_gamma 118.96
loop_
_space_group_symop_operation_xyz
'x,y,z'
loop_
_atom_site_label
_atom_site_type_symbol
_atom_site_fract_x
_atom_site_fract_y
_atom_site_fract_z
Tl1 Tl 0.798 0.203 0.000
Tl2 Tl 0.797 0.798 0.595
Tl3 Tl 0.203 0.202 0.405
Tl4 Tl 0.202 0.797 0.000
Pb1 Pb 0.500 0.500 0.000
In1 In 0.750 0.250 0.500
In2 In 0.250 0.750 0.500
```

Values from the calculation:
* theoretical density: 9.6 g cm⁻³
* distance to the lowest polymorph of the same formula: 0.0263 eV/atom
* space group: No. 139
* energy of formation: 0.096 eV per atom
* V: 31.10 A^3/atom